## PrTlZnS3 (PBE-GGA)

Data for crystalline PrTlZnS3 at its relaxed geometry.

## Properties
Crystal system: orthorhombic
DFT total energy, eV per atom: -4.6478

a = 7.368 Å, b = 7.368 Å, c = 11.026 Å
α = 90.00°, β = 90.00°, γ = 147.66°
Fractional coordinates of all 12 atoms:
Pr1 0.000 0.000 0.000
Pr2 0.000 0.000 0.500
Tl1 0.253 0.747 0.750
Tl2 0.747 0.253 0.250
Zn1 0.461 0.539 0.250
Zn2 0.539 0.461 0.750
S1 0.060 0.940 0.250
S2 0.372 0.628 0.073
S3 0.372 0.628 0.427
S4 0.628 0.372 0.573
S5 0.628 0.372 0.927
S6 0.940 0.060 0.750

## HoLuPu (PBE-GGA)

Data for crystalline HoLuPu at its relaxed geometry.

## Properties
Crystal system: cubic
DFT total energy, eV per atom: -6.9318
E_form, eV per atom: 0.811

a = 5.288 Å, b = 5.288 Å, c = 5.288 Å
α = 60.00°, β = 60.00°, γ = 60.00°
Fractional coordinates of all 3 atoms:
Ho1 0.000 0.000 0.000
Lu1 0.750 0.750 0.750
Pu1 0.250 0.250 0.250

## NdGaGe2O7 (PBE-GGA)

Data for crystalline NdGaGe2O7 at its relaxed geometry.

## Properties
Crystal system: monoclinic
DFT total energy, eV per atom: -6.8431

a = 7.209 Å, b = 6.615 Å, c = 12.872 Å
α = 90.00°, β = 117.53°, γ = 90.00°
Fractional coordinates of all 44 atoms:
Nd1 0.236 0.146 0.476
Nd2 0.236 0.354 0.976
Nd3 0.764 0.646 0.024
Nd4 0.764 0.854 0.524
Ga1 0.213 0.102 0.732
Ga2 0.213 0.398 0.232
Ga3 0.787 0.602 0.768
Ga4 0.787 0.898 0.268
Ge1 0.214 0.658 0.457
Ge2 0.214 0.842 0.957
Ge3 0.297 0.589 0.720
Ge4 0.297 0.911 0.220
Ge5 0.703 0.089 0.780
Ge6 0.703 0.411 0.280
Ge7 0.786 0.158 0.043
Ge8 0.786 0.342 0.543
O1 0.007 0.663 0.922
O2 0.007 0.837 0.422
O3 0.151 0.686 0.184
O4 0.151 0.814 0.684
O5 0.207 0.052 0.872
O6 0.207 0.448 0.372
O7 0.215 0.110 0.280
O8 0.215 0.390 0.780
O9 0.252 0.001 0.077
O10 0.252 0.499 0.577
O11 0.410 0.674 0.980
O12 0.410 0.826 0.480
O13 0.432 0.126 0.693
O14 0.432 0.374 0.193
O15 0.568 0.626 0.807
O16 0.568 0.874 0.307
O17 0.590 0.174 0.520
O18 0.590 0.326 0.020
O19 0.748 0.501 0.423
O20 0.748 0.999 0.923
O21 0.785 0.610 0.220
O22 0.785 0.890 0.720
O23 0.793 0.552 0.628
O24 0.793 0.948 0.128
O25 0.849 0.186 0.316
O26 0.849 0.314 0.816
O27 0.993 0.163 0.578
O28 0.993 0.337 0.078

## ZrBeGaFe (PBE-GGA)

Data for crystalline ZrBeGaFe at its relaxed geometry.

## Properties
Crystal system: cubic
DFT total energy, eV per atom: -5.9779

a = 4.274 Å, b = 4.274 Å, c = 4.274 Å
α = 60.00°, β = 60.00°, γ = 60.00°
Fractional coordinates of all 4 atoms:
Zr1 0.000 0.000 0.000
Be1 0.750 0.750 0.750
Ga1 0.250 0.250 0.250
Fe1 0.500 0.500 0.500

## ZrBiPO (PBE-GGA)

Data for crystalline ZrBiPO at its relaxed geometry.

## Properties
Crystal system: orthorhombic
DFT total energy, eV per atom: -6.8661

a = 3.641 Å, b = 7.740 Å, c = 6.739 Å
α = 90.00°, β = 90.00°, γ = 90.00°
Fractional coordinates of all 8 atoms:
Zr1 0.000 0.117 0.000
Zr2 0.000 0.883 0.500
Bi1 0.500 0.303 0.583
Bi2 0.500 0.697 0.083
P1 0.500 0.351 0.970
P2 0.500 0.649 0.470
O1 0.000 0.064 0.285
O2 0.000 0.936 0.785

## CsAgB (PBE-GGA)

Data for crystalline CsAgB at its relaxed geometry.

## Properties
Crystal system: cubic
DFT total energy, eV per atom: -1.9022

a = 5.078 Å, b = 5.078 Å, c = 5.078 Å
α = 60.00°, β = 60.00°, γ = 60.00°
Fractional coordinates of all 3 atoms:
Cs1 0.000 0.000 0.000
Ag1 0.500 0.500 0.500
B1 0.750 0.750 0.750